[1]
Here is PrEr2Zn2Sn2 after structural relaxation from Alexandria via LeMat-Bulk. Energies are from PBE.

Lattice parameters (Å, degrees): 4.7032 4.7032 27.6503 90.00 90.00 120.00
Space group R-3m (No. 166, hexagonal axes)
Asymmetric unit:
Pr  0.0000  0.0000  0.0000 [3 per cell]
Er  0.0000  0.0000  0.1327 [6 per cell]
Zn  0.0000  0.0000  0.4252 [6 per cell]
Sn  0.0000  0.0000  0.2633 [6 per cell]

V in Å³/f.u.: 177
Mass density in kg/m3: 7934
Calculated formation energy in eV per atom: -0.34
Magnetization in μB/f.u.: 0.0



[2]
Here is SrPr2Er after structural relaxation from Alexandria via LeMat-Bulk. Energies are from PBE.

Lattice parameters (Å, degrees): 5.3258 5.3258 5.2646 90.00 90.00 90.00
Space group P4/mmm (No. 123)
Asymmetric unit:
Sr  0.0000  0.0000  0.0000 [1 per cell]
Pr  0.0000  0.5000  0.5000 [2 per cell]
Er  0.5000  0.5000  0.0000 [1 per cell]

V in Å³/f.u.: 149
Mass density in kg/m3: 5968
Calculated formation energy in eV per atom: 0.16
Energy relative to the lowest polymorph listed for this composition in eV per atom: 0.071
Magnetization in μB/f.u.: 0.0



[3]
Here is SrPr2Er after structural relaxation from Alexandria via LeMat-Bulk. Energies are from PBE.

Lattice parameters (Å, degrees): 3.7429 3.7429 37.3107 90.00 90.00 120.00
Space group R3m (No. 160, hexagonal axes)
Asymmetric unit:
Sr  0.0000  0.0000  0.0000 [3 per cell]
Pr  0.0000  0.0000  0.5764 [3 per cell]
Pr  0.0000  0.0000  0.7573 [3 per cell]
Er  0.0000  0.0000  0.1667 [3 per cell]

V in Å³/f.u.: 151
Mass density in kg/m3: 5906
Calculated formation energy in eV per atom: 0.09
Energy relative to the lowest polymorph listed for this composition in eV per atom: 0.000
Magnetization in μB/f.u.: 0.0



[4]
Here is SrPr2Er after structural relaxation from Alexandria via LeMat-Bulk. Energies are from PBE.

Lattice parameters (Å, degrees): 8.4545 8.4545 8.4545 90.00 90.00 90.00
Space group Fm-3m (No. 225)
Asymmetric unit:
Sr  0.0000  0.0000  0.0000 [4 per cell]
Pr  0.2500  0.2500  0.2500 [8 per cell]
Er  0.0000  0.0000  0.5000 [4 per cell]

V in Å³/f.u.: 151
Mass density in kg/m3: 5899
Calculated formation energy in eV per atom: 0.20
Energy relative to the lowest polymorph listed for this composition in eV per atom: 0.107
Magnetization in μB/f.u.: 0.0



[5]
Here is SrPr2Er after structural relaxation from Alexandria via LeMat-Bulk. Energies are from PBE.

Lattice parameters (Å, degrees): 3.6796 3.6796 39.4427 90.00 90.00 120.00
Space group R-3m (No. 166, hexagonal axes)
Asymmetric unit:
Sr  0.0000  0.0000  0.0000 [3 per cell]
Pr  0.0000  0.0000  0.0938 [6 per cell]
Er  0.0000  0.0000  0.5000 [3 per cell]

V in Å³/f.u.: 154
Mass density in kg/m3: 5781
Calculated formation energy in eV per atom: 0.18
Energy relative to the lowest polymorph listed for this composition in eV per atom: 0.088
Magnetization in μB/f.u.: 0.0



[6]
Here is SrPr2Er after structural relaxation from Alexandria via LeMat-Bulk. Energies are from PBE.

Lattice parameters (Å, degrees): 4.1346 4.1346 9.1790 90.00 90.00 90.00
Space group P4/mmm (No. 123)
Asymmetric unit:
Sr  0.0000  0.0000  0.0000 [1 per cell]
Pr  0.5000  0.5000  0.2945 [2 per cell]
Er  0.0000  0.0000  0.5000 [1 per cell]

V in Å³/f.u.: 157
Mass density in kg/m3: 5680
Calculated formation energy in eV per atom: 0.11
Energy relative to the lowest polymorph listed for this composition in eV per atom: 0.015
Magnetization in μB/f.u.: 0.0



[7]
Here is Pr2ErTa after structural relaxation from Alexandria via LeMat-Bulk. Energies are from PBE.

Lattice parameters (Å, degrees): 3.3279 3.3279 35.9864 90.00 90.00 120.00
Space group R-3m (No. 166, hexagonal axes)
Asymmetric unit:
Pr  0.0000  0.0000  0.0823 [6 per cell]
Er  0.0000  0.0000  0.5000 [3 per cell]
Ta  0.0000  0.0000  0.0000 [3 per cell]

V in Å³/f.u.: 115
Mass density in kg/m3: 9093
Calculated formation energy in eV per atom: 0.67
Magnetization in μB/f.u.: 0.0



[8]
Here is PrEr2Ta after structural relaxation from Alexandria via LeMat-Bulk. Energies are from PBE.

Lattice parameters (Å, degrees): 3.2887 3.2887 35.4417 90.00 90.00 120.00
Space group R-3m (No. 166, hexagonal axes)
Asymmetric unit:
Pr  0.0000  0.0000  0.0000 [3 per cell]
Er  0.0000  0.0000  0.4180 [6 per cell]
Ta  0.0000  0.0000  0.5000 [3 per cell]

V in Å³/f.u.: 111
Mass density in kg/m3: 9850
Calculated formation energy in eV per atom: 0.62
Magnetization in μB/f.u.: 0.3



[9]
Here is Tb5PrEr5 after structural relaxation from Alexandria via LeMat-Bulk. Energies are from PBE.

Lattice parameters (Å, degrees): 6.0822 6.0822 11.4435 90.00 90.00 120.00
Space group P-6m2 (No. 187)
Asymmetric unit:
Tb  0.0000  0.0000  0.2362 [2 per cell]
Tb  0.3370  0.1685  0.0000 [3 per cell]
Pr  0.3333  0.6667  0.5000 [1 per cell]
Er  0.0000  0.0000  0.5000 [1 per cell]
Er  0.3333  0.6667  0.1710 [2 per cell]
Er  0.6667  0.3333  0.3396 [2 per cell]

V in Å³/f.u.: 367
Mass density in kg/m3: 8025
Calculated formation energy in eV per atom: 0.32
Magnetization in μB/f.u.: 0.0



[10]
Here is Tb6PrEr8 after structural relaxation from Alexandria via LeMat-Bulk. Energies are from PBE.

Lattice parameters (Å, degrees): 9.0023 9.0023 20.5200 90.00 90.00 120.00
Space group R-3 (No. 148, hexagonal axes)
Asymmetric unit:
Tb  0.0631  0.2459  0.2083 [18 per cell]
Pr  0.0000  0.0000  0.5000 [3 per cell]
Er  0.0000  0.0000  0.0763 [6 per cell]
Er  0.0806  0.5516  0.3087 [18 per cell]

V in Å³/f.u.: 480
Mass density in kg/m3: 8414
Calculated formation energy in eV per atom: 0.13
Magnetization in μB/f.u.: 0.0



[11]
Here is Tb2Pr3Er6 after structural relaxation from Alexandria via LeMat-Bulk. Energies are from PBE.

Lattice parameters (Å, degrees): 4.7572 4.7572 33.2135 90.00 90.00 90.00
Space group I4/mmm (No. 139)
Asymmetric unit:
Tb  0.0000  0.0000  0.0463 [4 per cell]
Pr  0.0000  0.0000  0.2948 [4 per cell]
Pr  0.0000  0.0000  0.5000 [2 per cell]
Er  0.0000  0.0000  0.1908 [4 per cell]
Er  0.0000  0.5000  0.1203 [8 per cell]

V in Å³/f.u.: 376
Mass density in kg/m3: 7706
Calculated formation energy in eV per atom: 0.27
Energy relative to the lowest polymorph listed for this composition in eV per atom: 0.065
Magnetization in μB/f.u.: 0.0



[12]
Here is TbPr8Er4 after structural relaxation from Alexandria via LeMat-Bulk. Energies are from PBE.

Lattice parameters (Å, degrees): 7.2866 7.2866 29.3560 90.00 90.00 120.00
Space group R-3m (No. 166, hexagonal axes)
Asymmetric unit:
Tb  0.0000  0.0000  0.0000 [3 per cell]
Pr  0.0000  0.0000  0.2879 [6 per cell]
Pr  0.0285  0.5142  0.2627 [18 per cell]
Er  0.0000  0.0000  0.5000 [3 per cell]
Er  0.0000  0.5000  0.5000 [9 per cell]

V in Å³/f.u.: 450
Mass density in kg/m3: 7216
Calculated formation energy in eV per atom: 0.19
Magnetization in μB/f.u.: 0.0



[13]
Here is Tb6PrEr after structural relaxation from Alexandria via LeMat-Bulk. Energies are from PBE.

Lattice parameters (Å, degrees): 10.0374 6.8576 8.4797 90.00 103.68 90.00
Space group C2/m (No. 12)
Asymmetric unit:
Tb  0.1274  0.0000  0.4234 [4 per cell]
Tb  0.1957  0.2372  0.8028 [8 per cell]
Pr  0.0000  0.5000  0.5000 [2 per cell]
Er  0.0000  0.5000  0.0000 [2 per cell]

V in Å³/f.u.: 284
Mass density in kg/m3: 7389
Calculated formation energy in eV per atom: 0.37
Energy relative to the lowest polymorph listed for this composition in eV per atom: 0.346
Magnetization in μB/f.u.: 0.0



[14]
Here is Tb3Pr5Er after structural relaxation from Alexandria via LeMat-Bulk. Energies are from PBE.

Lattice parameters (Å, degrees): 20.3254 6.3479 11.8250 90.00 123.18 90.00
Space group C2/c (No. 15)
Asymmetric unit:
Tb  0.0000  0.0000  0.0000 [4 per cell]
Tb  0.1754  0.2232  0.0248 [8 per cell]
Pr  0.0000  0.4106  0.2500 [4 per cell]
Pr  0.1377  0.3297  0.6589 [8 per cell]
Pr  0.1799  0.1771  0.3307 [8 per cell]
Er  0.0000  0.0992  0.7500 [4 per cell]

V in Å³/f.u.: 319
Mass density in kg/m3: 7015
Calculated formation energy in eV per atom: 0.26
Energy relative to the lowest polymorph listed for this composition in eV per atom: 0.000
Magnetization in μB/f.u.: 0.0



[15]
Here is TbPrEr after structural relaxation from Alexandria via LeMat-Bulk. Energies are from PBE.

Lattice parameters (Å, degrees): 5.6987 5.6987 3.5023 90.00 90.00 120.00
Space group P-6m2 (No. 187)
Asymmetric unit:
Tb  0.0000  0.0000  0.0000 [1 per cell]
Pr  0.6667  0.3333  0.5000 [1 per cell]
Er  0.3333  0.6667  0.0000 [1 per cell]

V in Å³/f.u.: 99
Mass density in kg/m3: 7874
Calculated formation energy in eV per atom: 0.07
Energy relative to the lowest polymorph listed for this composition in eV per atom: 0.048
Magnetization in μB/f.u.: 0.0



[16]
Here is Tb4Pr4Er3 after structural relaxation from Alexandria via LeMat-Bulk. Energies are from PBE.

Lattice parameters (Å, degrees): 3.5478 5.7038 18.2079 80.99 84.41 90.00
Space group P-1 (No. 2)
Asymmetric unit:
Tb  0.0449  0.0450  0.4094 [2 per cell]
Tb  0.1802  0.6804  0.1392 [2 per cell]
Pr  0.0901  0.5900  0.3194 [2 per cell]
Pr  0.2313  0.2311  0.0376 [2 per cell]
Er  0.3652  0.8651  0.7705 [2 per cell]
Er  0.5000  0.5000  0.5000 [1 per cell]

V in Å³/f.u.: 362
Mass density in kg/m3: 7800
Calculated formation energy in eV per atom: 0.06
Energy relative to the lowest polymorph listed for this composition in eV per atom: 0.000
Magnetization in μB/f.u.: 0.0



[17]
Here is Tb2Pr8Er after structural relaxation from Alexandria via LeMat-Bulk. Energies are from PBE.

Lattice parameters (Å, degrees): 5.7553 8.3379 16.2486 90.00 90.00 90.00
Space group Immm (No. 71)
Asymmetric unit:
Tb  0.0000  0.0000  0.2011 [4 per cell]
Pr  0.0000  0.2079  0.0000 [4 per cell]
Pr  0.0000  0.2957  0.3644 [8 per cell]
Pr  0.0000  0.5000  0.1621 [4 per cell]
Er  0.0000  0.0000  0.5000 [2 per cell]

V in Å³/f.u.: 390
Mass density in kg/m3: 6868
Calculated formation energy in eV per atom: 0.11
Energy relative to the lowest polymorph listed for this composition in eV per atom: 0.000
Magnetization in μB/f.u.: 0.0



[18]
Here is TbPr7Er4 after structural relaxation from Alexandria via LeMat-Bulk. Energies are from PBE.

Lattice parameters (Å, degrees): 6.3594 7.3220 9.0260 89.96 76.50 89.99
Space group P-1 (No. 2)
Asymmetric unit:
Tb  0.0000  0.0000  0.0000 [1 per cell]
Pr  0.0000  0.5000  0.0000 [1 per cell]
Pr  0.2219  0.0004  0.3343 [2 per cell]
Pr  0.2813  0.2508  0.6640 [2 per cell]
Pr  0.5003  0.2537  0.0029 [2 per cell]
Er  0.2187  0.5003  0.3361 [2 per cell]
Er  0.2764  0.7455  0.6670 [2 per cell]

V in Å³/f.u.: 409
Mass density in kg/m3: 7372
Calculated formation energy in eV per atom: 0.01
Energy relative to the lowest polymorph listed for this composition in eV per atom: 0.000
Magnetization in μB/f.u.: 0.0



[19]
Here is TbPr8Er3 after structural relaxation from Alexandria via LeMat-Bulk. Energies are from PBE.

Lattice parameters (Å, degrees): 7.1027 12.0721 9.9225 90.00 104.25 90.00
Space group C2/m (No. 12)
Asymmetric unit:
Tb  0.0000  0.0000  0.0000 [2 per cell]
Pr  0.0674  0.2521  0.8337 [8 per cell]
Pr  0.1806  0.0000  0.6674 [4 per cell]
Pr  0.1815  0.5000  0.6635 [4 per cell]
Er  0.0000  0.5000  0.0000 [2 per cell]
Er  0.2500  0.2500  0.5000 [4 per cell]

V in Å³/f.u.: 412
Mass density in kg/m3: 7201
Calculated formation energy in eV per atom: 0.11
Magnetization in μB/f.u.: 0.0



[20]
Here is TbPr3Er7 after structural relaxation from Alexandria via LeMat-Bulk. Energies are from PBE.

Lattice parameters (Å, degrees): 6.5061 6.6794 8.5993 99.41 98.35 95.17
Space group P-1 (No. 2)
Asymmetric unit:
Tb  0.0000  0.0000  0.0000 [1 per cell]
Pr  0.3017  0.4376  0.3364 [2 per cell]
Pr  0.5000  0.0000  0.5000 [1 per cell]
Er  0.0000  0.5000  0.0000 [1 per cell]
Er  0.0611  0.2085  0.6455 [2 per cell]
Er  0.2210  0.7251  0.7144 [2 per cell]
Er  0.4873  0.2326  0.9196 [2 per cell]

V in Å³/f.u.: 362
Mass density in kg/m3: 8033
Calculated formation energy in eV per atom: 0.12
Energy relative to the lowest polymorph listed for this composition in eV per atom: 0.000
Magnetization in μB/f.u.: 0.0



[21]
Here is Tb4Pr5Er after structural relaxation from Alexandria via LeMat-Bulk. Energies are from PBE.

Lattice parameters (Å, degrees): 3.6335 9.5933 10.2892 74.33 89.95 79.12
Space group P-1 (No. 2)
Asymmetric unit:
Tb  0.0995  0.2996  0.2945 [2 per cell]
Tb  0.3010  0.8988  0.9001 [2 per cell]
Pr  0.0990  0.3012  0.8056 [2 per cell]
Pr  0.3002  0.9004  0.3997 [2 per cell]
Pr  0.5000  0.5000  0.5000 [1 per cell]
Er  0.5000  0.5000  0.0000 [1 per cell]

V in Å³/f.u.: 339
Mass density in kg/m3: 7392
Calculated formation energy in eV per atom: 0.02
Energy relative to the lowest polymorph listed for this composition in eV per atom: 0.000
Magnetization in μB/f.u.: 0.0



[22]
Here is Tb2Pr6Er5 after structural relaxation from Alexandria via LeMat-Bulk. Energies are from PBE.

Lattice parameters (Å, degrees): 11.7586 20.6448 3.6371 90.00 90.00 90.00
Space group Pbam (No. 55)
Asymmetric unit:
Tb  0.1646  0.2109  0.0000 [4 per cell]
Pr  0.0594  0.9202  0.0000 [4 per cell]
Pr  0.0836  0.6331  0.0000 [4 per cell]
Pr  0.1734  0.3670  0.5000 [4 per cell]
Er  0.0000  0.5000  0.5000 [2 per cell]
Er  0.0944  0.7739  0.5000 [4 per cell]
Er  0.1987  0.0560  0.5000 [4 per cell]

V in Å³/f.u.: 441
Mass density in kg/m3: 7521
Calculated formation energy in eV per atom: 0.11
Magnetization in μB/f.u.: 0.0



[23]
Here is Tb10PrEr4 after structural relaxation from Alexandria via LeMat-Bulk. Energies are from PBE.

Lattice parameters (Å, degrees): 12.1558 12.1558 7.6773 90.00 90.00 90.00
Space group I4/m (No. 87)
Asymmetric unit:
Tb  0.0000  0.5000  0.2500 [4 per cell]
Tb  0.1007  0.7977  0.2478 [16 per cell]
Pr  0.0000  0.0000  0.5000 [2 per cell]
Er  0.1000  0.3003  0.0000 [8 per cell]

V in Å³/f.u.: 567
Mass density in kg/m3: 7024
Calculated formation energy in eV per atom: 0.73
Magnetization in μB/f.u.: 0.0